First-principles (PBE-GGA) data for crystalline MgBS2Cl at its relaxed geometry, as listed in Alexandria via LeMat-Bulk.

a b c (Å): 4.162 4.162 4.754
angles (deg): 90.00 90.00 90.00
Sites, in units of the cell vectors:
B 0.000 0.000 0.000
Mg 0.500 0.500 0.500
Cl 0.000 0.000 0.500
S 0.500 0.000 0.000
S 0.000 0.500 0.000

Properties
* symmetry: P4/mmm, No. 123
* crystal system: tetragonal
* offset from the most stable computed form: 0.0 meV per atom
* V: 16.5 Å³/atom

First-principles (PBE-GGA) data for crystalline MgBSCl2 at its relaxed geometry, as listed in Alexandria via LeMat-Bulk.

a b c (Å): 4.288 4.288 4.551
angles (deg): 90.00 90.00 90.00
Sites, in units of the cell vectors:
Mg 0.500 0.500 0.500
B 0.000 0.000 0.000
Cl 0.000 0.500 0.000
Cl 0.500 0.000 0.000
S 0.000 0.000 0.500

Properties
* symmetry: P4/mmm, No. 123
* crystal system: tetragonal
* offset from the most stable computed form: 0.0 meV per atom
* V: 16.7 Å³/atom

First-principles (PBE-GGA) data for crystalline MgBS2Cl at its relaxed geometry, as listed in Alexandria via LeMat-Bulk.

a b c (Å): 4.857 4.857 4.916
angles (deg): 90.00 90.00 90.00
Each line ends with the local moment (μB).
Sites, in units of the cell vectors:
S 0.000 0.500 0.000  0.44
B 0.500 0.500 0.500  -0.03
Cl 0.000 0.000 0.500  0.14
S 0.500 0.000 0.000  0.44
Mg 0.000 0.000 0.000  0.00

Properties
* symmetry: P4/mmm, No. 123
* crystal system: tetragonal
* offset from the most stable computed form: 679.3 meV per atom
* V: 23.2 Å³/atom

First-principles (PBE-GGA) data for crystalline YMgB2Cl at its relaxed geometry, as listed in Alexandria via LeMat-Bulk.

a b c (Å): 4.542 4.857 4.542
angles (deg): 90.00 90.00 90.00
Sites, in units of the cell vectors:
Cl 0.000 0.000 0.000
B 0.000 0.000 0.500
Y 0.000 0.500 0.000
B 0.500 0.000 0.000
Mg 0.500 0.500 0.500

Properties
* total energy: -3.407 eV per atom
* symmetry: P4/mmm, No. 123
* crystal system: tetragonal
* V: 20.0 Å³/atom

First-principles (PBE-GGA) data for crystalline MgZnB2Cl at its relaxed geometry, as listed in Alexandria via LeMat-Bulk.

a b c (Å): 4.629 4.903 4.629
angles (deg): 90.00 90.00 90.00
Sites, in units of the cell vectors:
Mg 0.000 0.000 0.000
Zn 0.500 0.500 0.500
Cl 0.000 0.500 0.000
B 0.500 0.000 0.000
B 0.000 0.000 0.500

Properties
* total energy: -2.240 eV per atom
* symmetry: P4/mmm, No. 123
* crystal system: tetragonal
* V: 21.0 Å³/atom

First-principles (PBE-GGA) data for crystalline Mg2ZnBCl at its relaxed geometry, as listed in Alexandria via LeMat-Bulk.

a b c (Å): 5.115 3.800 5.115
angles (deg): 90.00 90.00 90.00
Sites, in units of the cell vectors:
Mg 0.500 0.000 0.000
Mg 0.000 0.000 0.500
B 0.000 0.500 0.000
Cl 0.500 0.500 0.500
Zn 0.000 0.000 0.000

Properties
* total energy: -2.461 eV per atom
* symmetry: P4/mmm, No. 123
* crystal system: tetragonal
* V: 19.9 Å³/atom

First-principles (PBE-GGA) data for crystalline MnBCl3 at its relaxed geometry, as listed in Alexandria via LeMat-Bulk.

a b c (Å): 4.899 4.899 4.899
angles (deg): 90.00 90.00 90.00
Each line ends with the local moment (μB).
Sites, in units of the cell vectors:
Mn 0.000 0.000 0.000  4.32
Cl 0.000 0.500 0.000  0.06
B 0.500 0.500 0.500  -0.06
Cl 0.000 0.000 0.500  0.04
Cl 0.500 0.000 0.000  0.08

Properties
* symmetry: Pm-3m, No. 221
* crystal system: cubic
* offset from the most stable computed form: 0.0 meV per atom
* V: 23.5 Å³/atom

First-principles (PBE-GGA) data for crystalline Mn3BCl at its relaxed geometry, as listed in Alexandria via LeMat-Bulk.

a b c (Å): 4.165 4.165 4.165
angles (deg): 90.00 90.00 90.00
Each line ends with the local moment (μB).
Sites, in units of the cell vectors:
Cl 0.500 0.500 0.500  0.20
Mn 0.500 0.000 0.000  3.07
Mn 0.000 0.000 0.500  3.49
Mn 0.000 0.500 0.000  3.41
B 0.000 0.000 0.000  -0.25

Properties
* symmetry: Pm-3m, No. 221
* crystal system: cubic
* offset from the most stable computed form: 0.0 meV per atom
* V: 14.5 Å³/atom

First-principles (PBE-GGA) data for crystalline MnB3Cl at its relaxed geometry, as listed in Alexandria via LeMat-Bulk.

a b c (Å): 4.045 4.045 4.045
angles (deg): 90.00 90.00 90.00
Each line ends with the local moment (μB).
Sites, in units of the cell vectors:
Cl 0.500 0.500 0.500  0.30
B 0.000 0.000 0.500  0.02
Mn 0.000 0.000 0.000  1.77
B 0.500 0.000 0.000  -0.04
B 0.000 0.500 0.000  -0.03

Properties
* symmetry: Pm-3m, No. 221
* crystal system: cubic
* offset from the most stable computed form: 0.0 meV per atom
* V: 13.2 Å³/atom

First-principles (PBE-GGA) data for crystalline Mn2BCl at its relaxed geometry, as listed in Alexandria via LeMat-Bulk.

a b c (Å): 3.842 3.842 3.842
angles (deg): 60.00 60.00 60.00
Each line ends with the local moment (μB).
Sites, in units of the cell vectors:
Mn 0.250 0.250 0.250  0.61
B 0.000 0.000 0.000  -0.07
Mn 0.750 0.750 0.750  0.61
Cl 0.500 0.500 0.500  -0.02

Properties
* symmetry: Fm-3m, No. 225
* crystal system: cubic
* offset from the most stable computed form: 508.3 meV per atom
* V: 10.0 Å³/atom